# LaVSiF2 (GGA+U, relaxed)
data_LaVSiF2
_chemical_formula_sum 'La1 V1 Si1 F2'
_cell_length_a 4.2281
_cell_length_b 4.2281
_cell_length_c 5.2940
_cell_angle_alpha 90.00
_cell_angle_beta 90.00
_cell_angle_gamma 90.00
_space_group_name_H-M_alt 'P 4/m m m'
_space_group_IT_number 123
_space_group_name_Hall '-P 4 2'
loop_
_atom_site_label
_atom_site_type_symbol
_atom_site_fract_x
_atom_site_fract_y
_atom_site_fract_z
La1 La 0.0000 0.0000 0.0000
V1 V 0.5000 0.5000 0.5000
Si1 Si 0.5000 0.5000 0.0000
F1 F 0.0000 0.5000 0.5000
# E	-5.8812	eV per atom